Hf2TaBe2Ru5, relaxed, DFT PBE-GGA; magnetic moment = 0.0000 μB per atom; ΔH_f (0 K) = -0.573 eV per atom
1.0
3.195 0.000 0.000
0.000 9.489 0.000
0.000 0.000 9.489
Hf Ta Be Ru
4 2 4 10
direct
0.000 0.673 0.173 Hf
0.000 0.327 0.827 Hf
0.000 0.173 0.327 Hf
0.000 0.827 0.673 Hf
0.000 0.000 0.000 Ta
0.000 0.500 0.500 Ta
0.000 0.122 0.622 Be
0.000 0.878 0.378 Be
0.000 0.622 0.878 Be
0.000 0.378 0.122 Be
0.500 0.210 0.073 Ru
0.500 0.790 0.927 Ru
0.500 0.073 0.790 Ru
0.500 0.710 0.427 Ru
0.500 0.927 0.210 Ru
0.500 0.290 0.573 Ru
0.500 0.573 0.710 Ru
0.500 0.427 0.290 Ru
0.500 0.500 0.000 Ru
0.500 0.000 0.500 Ru